## Tb2Mn2O5 (PBE+U)

Data for a relaxed structure of Tb2Mn2O5.

a = 6.330 Å, b = 6.330 Å, c = 6.518 Å
α = 120.97°, β = 120.97°, γ = 34.80°
Positions (direct):
1 Tb 0.116 0.116 0.465
2 Tb 0.884 0.884 0.535
3 Mn 0.363 0.363 0.045
4 Mn 0.637 0.637 0.955
5 O 0.135 0.135 0.840
6 O 0.341 0.341 0.700
7 O 0.500 0.500 0.500
8 O 0.659 0.659 0.300
9 O 0.865 0.865 0.160

The value obtained for the total energy is -0.294 Ha/atom. As for the space group: No. 12. The spin magnetization is 10.000 μB/f.u.